[1]
First-principles (PBE-GGA) data for an optimized crystal structure of BeTc, as listed in the Alexandria database.

The structure in POSCAR format:
```
BeTc
1.0
1.3453 0.7767 7.9206
-1.3453 0.7767 7.9206
0.0000 -1.5534 7.9206
Be Tc
2 2
direct
0.1278 0.1278 0.1278
0.8722 0.8722 0.8722
0.3782 0.3782 0.3782
0.6218 0.6218 0.6218
```

Calculated values
* ΔH_f (0 K): 16.8 kJ per mole of atoms
* symmetry: R-3m (166)


[2]
First-principles (PBE-GGA) data for an optimized crystal structure of BeTc5, as listed in the Alexandria database.

The structure in POSCAR format:
```
BeTc5
1.0
4.3159 0.0000 0.0000
0.0000 1.3937 6.8987
0.0000 -1.3937 6.8987
Be Tc
1 5
direct
0.0000 0.0000 0.0000
0.0000 0.3333 0.3333
0.0000 0.6583 0.6583
0.5000 0.2217 0.2217
0.5000 0.5485 0.5485
0.5000 0.8904 0.8904
```

Calculated values
* ΔH_f (0 K): 2.1 kJ per mole of atoms
* symmetry: Amm2 (38)


[3]
First-principles (PBE-GGA) data for an optimized crystal structure of BeTc3, as listed in the Alexandria database.

The structure in POSCAR format:
```
BeTc3
1.0
2.5635 -4.8441 0.0000
2.5635 4.8441 0.0000
0.0000 0.0000 4.3347
Be Tc
2 6
direct
0.0739 0.9261 0.7500
0.9261 0.0739 0.2500
0.0626 0.3959 0.7500
0.3959 0.0626 0.2500
0.4229 0.5771 0.2500
0.5771 0.4229 0.7500
0.6041 0.9374 0.7500
0.9374 0.6041 0.2500
```

Calculated values
* ΔH_f (0 K): 0.3 kJ per mole of atoms
* symmetry: Cmcm (63)


[4]
First-principles (PBE-GGA) data for an optimized crystal structure of BeTc3, as listed in the Alexandria database.

The structure in POSCAR format:
```
BeTc3
1.0
3.7672 0.0000 0.0000
0.0000 3.7672 0.0000
0.0000 0.0000 3.7672
Be Tc
1 3
direct
0.0000 0.0000 0.0000
0.0000 0.5000 0.5000
0.5000 0.0000 0.5000
0.5000 0.5000 0.0000
```

Calculated values
* ΔH_f (0 K): 16.7 kJ per mole of atoms
* symmetry: Pm-3m (221)


[5]
First-principles (PBE-GGA) data for an optimized crystal structure of BeTc3, as listed in the Alexandria database.

The structure in POSCAR format:
```
BeTc3
1.0
0.0000 2.9935 2.9935
2.9935 0.0000 2.9935
2.9935 2.9935 0.0000
Be Tc
1 3
direct
0.0000 0.0000 0.0000
0.2500 0.2500 0.2500
0.5000 0.5000 0.5000
0.7500 0.7500 0.7500
```

Calculated values
* ΔH_f (0 K): 8.8 kJ per mole of atoms
* symmetry: Fm-3m (225)


[6]
First-principles (PBE-GGA) data for an optimized crystal structure of Be3Tc, as listed in the Alexandria database.

The structure in POSCAR format:
```
Be3Tc
1.0
-1.6490 1.6490 7.1007
1.6490 -1.6490 7.1007
1.6490 1.6490 -7.1007
Be Tc
6 2
direct
0.0000 0.5000 0.5000
0.1384 0.1384 0.0000
0.2500 0.7500 0.5000
0.5000 0.0000 0.5000
0.7500 0.2500 0.5000
0.8616 0.8616 0.0000
0.3834 0.3834 0.0000
0.6166 0.6166 0.0000
```

Calculated values
* ΔH_f (0 K): -30.8 kJ per mole of atoms
* symmetry: I4/mmm (139)


[7]
First-principles (PBE-GGA) data for an optimized crystal structure of BeTc5, as listed in the Alexandria database.

The structure in POSCAR format:
```
BeTc5
1.0
2.7703 0.0000 0.0000
0.0000 2.7703 0.0000
0.0000 0.0000 10.5775
Be Tc
1 5
direct
0.0000 0.0000 0.0000
0.0000 0.0000 0.3166
0.0000 0.0000 0.6834
0.5000 0.5000 0.1417
0.5000 0.5000 0.5000
0.5000 0.5000 0.8583
```

Calculated values
* ΔH_f (0 K): 0.7 kJ per mole of atoms
* symmetry: P4/mmm (123)


[8]
First-principles (PBE-GGA) data for an optimized crystal structure of BeTc3, as listed in the Alexandria database.

The structure in POSCAR format:
```
BeTc3
1.0
2.7721 0.0000 0.0000
-1.3860 2.4007 0.0000
0.0000 0.0000 8.0102
Be Tc
1 3
direct
0.0000 0.0000 0.0000
0.0000 0.0000 0.5000
0.6667 0.3333 0.2325
0.6667 0.3333 0.7675
```

Calculated values
* ΔH_f (0 K): 3.7 kJ per mole of atoms
* symmetry: P-6m2 (187)


[9]
First-principles (PBE-GGA) data for an optimized crystal structure of BeTc5, as listed in the Alexandria database.

The structure in POSCAR format:
```
BeTc5
1.0
0.0000 3.5598 3.5598
3.5598 0.0000 3.5598
3.5598 3.5598 0.0000
Be Tc
1 5
direct
0.0000 0.0000 0.0000
0.3740 0.3740 0.3740
0.3740 0.3740 0.8779
0.3740 0.8779 0.3740
0.7500 0.7500 0.7500
0.8779 0.3740 0.3740
```

Calculated values
* ΔH_f (0 K): 43.8 kJ per mole of atoms
* symmetry: F-43m (216)


[10]
First-principles (PBE-GGA) data for an optimized crystal structure of BeTc3, as listed in the Alexandria database.

The structure in POSCAR format:
```
BeTc3
1.0
3.0019 0.0000 0.0000
0.0000 3.0019 0.0000
0.0000 0.0000 5.7987
Be Tc
1 3
direct
0.0000 0.0000 0.0000
0.0000 0.0000 0.5000
0.5000 0.5000 0.2178
0.5000 0.5000 0.7822
```

Calculated values
* ΔH_f (0 K): -1.5 kJ per mole of atoms
* symmetry: P4/mmm (123)


[11]
First-principles (PBE-GGA) data for an optimized crystal structure of Be3Tc, as listed in the Alexandria database.

The structure in POSCAR format:
```
Be3Tc
1.0
-1.6431 1.6431 3.6126
1.6431 -1.6431 3.6126
1.6431 1.6431 -3.6126
Be Tc
3 1
direct
0.0000 0.0000 0.0000
0.2500 0.7500 0.5000
0.7500 0.2500 0.5000
0.5000 0.5000 0.0000
```

Calculated values
* ΔH_f (0 K): -15.0 kJ per mole of atoms
* symmetry: I4/mmm (139)


[12]
First-principles (PBE-GGA) data for an optimized crystal structure of BeTc3, as listed in the Alexandria database.

The structure in POSCAR format:
```
BeTc3
1.0
2.6884 0.0000 0.0000
0.0000 2.9114 0.0000
0.0000 0.0000 7.0251
Be Tc
1 3
direct
0.0000 0.0000 0.0000
0.0000 0.5000 0.2554
0.5000 0.0000 0.5039
0.5000 0.5000 0.8132
```

Calculated values
* ΔH_f (0 K): 35.5 kJ per mole of atoms
* symmetry: Pmm2 (25)


[13]
First-principles (PBE-GGA) data for an optimized crystal structure of Be3Tc, as listed in the Alexandria database.

The structure in POSCAR format:
```
Be3Tc
1.0
4.2974 0.0000 0.0000
0.0000 4.2974 0.0000
0.0000 0.0000 4.2974
Be Tc
3 1
direct
0.0000 0.0000 0.5000
0.0000 0.5000 0.0000
0.5000 0.0000 0.0000
0.0000 0.0000 0.0000
```

Calculated values
* ΔH_f (0 K): 156.5 kJ per mole of atoms
* symmetry: Pm-3m (221)


[14]
First-principles (PBE-GGA) data for an optimized crystal structure of BeTc, as listed in the Alexandria database.

The structure in POSCAR format:
```
BeTc
1.0
6.1230 0.0000 0.0000
0.0000 6.1230 0.0000
0.0000 0.0000 6.1230
Be Tc
6 6
direct
0.0000 0.2500 0.5000
0.0000 0.7500 0.5000
0.2500 0.5000 0.0000
0.5000 0.0000 0.2500
0.5000 0.0000 0.7500
0.7500 0.5000 0.0000
0.0000 0.5000 0.2500
0.0000 0.5000 0.7500
0.2500 0.0000 0.5000
0.5000 0.2500 0.0000
0.5000 0.7500 0.0000
0.7500 0.0000 0.5000
```

Calculated values
* ΔH_f (0 K): 173.3 kJ per mole of atoms
* symmetry: Pm-3n (223)


[15]
First-principles (PBE-GGA) data for an optimized crystal structure of Be2Tc, as listed in the Alexandria database.

The structure in POSCAR format:
```
Be2Tc
1.0
3.3860 0.0000 0.0000
-1.6930 2.9323 0.0000
0.0000 0.0000 2.9826
Be Tc
2 1
direct
0.3333 0.6667 0.0000
0.6667 0.3333 0.0000
0.0000 0.0000 0.5000
```

Calculated values
* ΔH_f (0 K): -24.0 kJ per mole of atoms
* symmetry: P6/mmm (191)


[16]
First-principles (PBE-GGA) data for an optimized crystal structure of Be2Tc, as listed in the Alexandria database.

The structure in POSCAR format:
```
Be2Tc
1.0
1.3077 -6.5362 0.0000
1.3077 6.5362 0.0000
0.0000 0.0000 3.9641
Be Tc
4 2
direct
0.0549 0.9451 0.7500
0.4031 0.5969 0.7500
0.5969 0.4031 0.2500
0.9451 0.0549 0.2500
0.2876 0.7124 0.2500
0.7124 0.2876 0.7500
```

Calculated values
* ΔH_f (0 K): 18.8 kJ per mole of atoms
* symmetry: Cmcm (63)


[17]
First-principles (PBE-GGA) data for an optimized crystal structure of Be3Tc5, as listed in the Alexandria database.

The structure in POSCAR format:
```
Be3Tc5
1.0
2.9878 -4.0868 0.0000
2.9878 4.0868 0.0000
0.0000 0.0000 4.0615
Be Tc
3 5
direct
0.0000 0.0000 0.0000
0.2751 0.7249 0.5000
0.7249 0.2751 0.5000
0.0000 0.5000 0.0000
0.2083 0.2083 0.5000
0.5000 0.0000 0.0000
0.5000 0.5000 0.0000
0.7917 0.7917 0.5000
```

Calculated values
* ΔH_f (0 K): 2.6 kJ per mole of atoms
* symmetry: Cmmm (65)


[18]
First-principles (PBE-GGA) data for an optimized crystal structure of BeTc, as listed in the Alexandria database.

The structure in POSCAR format:
```
BeTc
1.0
2.7460 0.0000 0.0000
-1.3730 2.3781 0.0000
0.0000 0.0000 7.4523
Be Tc
2 2
direct
0.3333 0.6667 0.1063
0.6667 0.3333 0.8937
0.3333 0.6667 0.6392
0.6667 0.3333 0.3608
```

Calculated values
* ΔH_f (0 K): 9.3 kJ per mole of atoms
* symmetry: P-3m1 (164)


[19]
First-principles (PBE-GGA) data for an optimized crystal structure of BeTc, as listed in the Alexandria database.

The structure in POSCAR format:
```
BeTc
1.0
1.5884 0.9171 5.1390
-1.5884 0.9171 5.1390
0.0000 -1.8342 5.1390
Be Tc
2 2
direct
0.1694 0.1694 0.1694
0.8306 0.8306 0.8306
0.4004 0.4004 0.4004
0.5996 0.5996 0.5996
```

Calculated values
* ΔH_f (0 K): 8.5 kJ per mole of atoms
* symmetry: R-3m (166)


[20]
First-principles (PBE-GGA) data for an optimized crystal structure of BeTc5, as listed in the Alexandria database.

The structure in POSCAR format:
```
BeTc5
1.0
4.6729 0.0000 0.0000
-2.3364 4.0468 0.0000
0.0000 0.0000 4.3688
Be Tc
1 5
direct
0.0000 0.0000 0.0000
0.0000 0.6814 0.5000
0.3186 0.3186 0.5000
0.3333 0.6667 0.0000
0.6667 0.3333 0.0000
0.6814 0.0000 0.5000
```

Calculated values
* ΔH_f (0 K): -1.3 kJ per mole of atoms
* symmetry: P-62m (189)